(1)
# Mn2CoRe

Mn2CoRe at its PBEsol-relaxed geometry (SCAN, the Alexandria database).

D(E_F) = 3.7 states/eV/f.u.
space-group type = R-3m
calculated total energy = -124.3 eV for the cell shown

extended XYZ file:
```
4
Lattice="1.290 0.745 8.148 -1.290 0.745 8.148 0.000 -1.489 8.148" Properties=species:S:1:pos:R:3 pbc="T T T"
Mn 0.000 0.000 6.010
Mn 0.000 0.000 18.435
Co 0.000 0.000 12.222
Re 0.000 0.000 0.000
```

=====

(2)
# FeSiTc3

FeSiTc3 at its PBEsol-relaxed geometry (SCAN, the Alexandria database).

D(E_F) = 4.7 states/eV/f.u.
raw formation energy = 7.0 eV per formula unit
space-group type = Pm-3m
calculated total energy = -126.4 eV for the cell shown

extended XYZ file:
```
5
Lattice="4.301 0.000 0.000 0.000 4.301 0.000 0.000 0.000 4.301" Properties=species:S:1:pos:R:3 pbc="T T T"
Fe 0.000 0.000 0.000
Si 2.151 2.151 2.151
Tc 0.000 0.000 2.151
Tc 0.000 2.151 0.000
Tc 2.151 0.000 0.000
```

=====

(3)
# K2TiMoH

K2TiMoH at its PBEsol-relaxed geometry (SCAN, the Alexandria database).

D(E_F) = 3.6 states/eV/f.u.
space-group type = P4/mmm
calculated total energy = -63.9 eV for the cell shown

extended XYZ file:
```
5
Lattice="6.407 0.000 0.000 0.000 6.407 0.000 0.000 0.000 4.350" Properties=species:S:1:pos:R:3 pbc="T T T"
K 0.000 3.203 0.000
K 3.203 0.000 0.000
Ti 0.000 0.000 2.175
Mo 0.000 0.000 0.000
H 3.203 3.203 2.175
```

=====

(4)
# K3Bi2

K3Bi2 at its PBEsol-relaxed geometry (SCAN, the Alexandria database).

D(E_F) = 3.7 states/eV/f.u.
space-group type = C2/c
calculated total energy = -368.4 eV for the cell shown

extended XYZ file:
```
10
Lattice="4.630 -4.851 0.000 4.630 4.851 0.000 -2.327 0.000 8.937" Properties=species:S:1:pos:R:3 pbc="T T T"
K 2.885 3.362 6.703
K 2.699 0.522 0.122
K 1.535 -0.522 4.590
K 5.398 0.522 4.347
K 4.234 -0.522 8.815
K 4.048 -3.362 2.234
Bi 2.843 2.746 3.110
Bi 5.254 2.746 1.359
Bi 1.679 -2.746 7.578
Bi 4.090 -2.746 5.827
```

=====

(5)
# Al2ZnRh

Al2ZnRh at its PBEsol-relaxed geometry (SCAN, the Alexandria database).

D(E_F) = 1.0 states/eV/f.u.
space-group type = I4/mmm
calculated total energy = -65.4 eV for the cell shown

extended XYZ file:
```
4
Lattice="-1.935 1.935 3.682 1.935 -1.935 3.682 1.935 1.935 -3.682" Properties=species:S:1:pos:R:3 pbc="T T T"
Al 1.935 0.000 1.841
Al 0.000 1.935 1.841
Zn 0.000 0.000 0.000
Rh 0.000 0.000 3.682
```

=====

(6)
# YTeSe2

YTeSe2 at its PBEsol-relaxed geometry (SCAN, the Alexandria database).

D(E_F) = 3.0 states/eV/f.u.
raw formation energy = -2.5 eV per formula unit
space-group type = R3m
calculated total energy = -107.7 eV for the cell shown

extended XYZ file:
```
4
Lattice="1.909 1.102 8.692 -1.909 1.102 8.692 0.000 -2.205 8.692" Properties=species:S:1:pos:R:3 pbc="T T T"
Y 0.000 0.000 0.000
Te 0.000 0.000 6.360
Se 0.000 0.000 13.092
Se 0.000 0.000 18.933
```

=====

(7)
# AlMo2Rh

AlMo2Rh at its PBEsol-relaxed geometry (SCAN, the Alexandria database).

D(E_F) = 2.6 states/eV/f.u.
space-group type = Pmm2
calculated total energy = -112.1 eV for the cell shown

extended XYZ file:
```
4
Lattice="2.702 0.000 0.000 0.000 3.966 0.000 0.000 0.000 5.466" Properties=species:S:1:pos:R:3 pbc="T T T"
Al 0.000 0.000 0.000
Mo 0.000 0.000 2.784
Mo 1.351 1.983 1.442
Rh 1.351 1.983 4.307
```

=====

(8)
# Er5BiPt2

Er5BiPt2 at its PBEsol-relaxed geometry (SCAN, the Alexandria database).

D(E_F) = 6.4 states/eV/f.u.
space-group type = I4/mcm
calculated total energy = -959.5 eV for the cell shown

extended XYZ file:
```
16
Lattice="-3.823 3.823 6.701 3.823 -3.823 6.701 3.823 3.823 -6.701" Properties=species:S:1:pos:R:3 pbc="T T T"
Er 0.000 0.000 0.000
Er 5.018 1.195 -1.828
Er 1.195 2.629 -1.828
Er 5.018 1.195 1.828
Er 1.195 2.629 1.828
Er 0.000 0.000 6.701
Er 2.629 1.195 4.873
Er -1.195 2.629 4.873
Er 2.629 1.195 8.529
Er -1.195 2.629 8.529
Bi 0.000 0.000 3.351
Bi 0.000 0.000 10.052
Pt 2.767 1.057 0.000
Pt 2.767 -1.057 6.701
Pt 1.057 4.880 0.000
Pt 1.057 2.767 6.701
```

=====

(9)
# MnAlSe2

MnAlSe2 at its PBEsol-relaxed geometry (SCAN, the Alexandria database).

D(E_F) = 1.6 states/eV/f.u.
raw formation energy = -0.6 eV per formula unit
space-group type = P4/mmm
calculated total energy = -66.8 eV for the cell shown

extended XYZ file:
```
4
Lattice="4.592 0.000 0.000 0.000 4.592 0.000 0.000 0.000 3.272" Properties=species:S:1:pos:R:3 pbc="T T T"
Mn 0.000 0.000 0.000
Al 2.296 2.296 0.000
Se 0.000 2.296 1.636
Se 2.296 0.000 1.636
```

=====

(10)
# PrMgGa

PrMgGa at its PBEsol-relaxed geometry (SCAN, the Alexandria database).

D(E_F) = 0.5 states/eV/f.u.
space-group type = P-62m
calculated total energy = -199.0 eV for the cell shown

extended XYZ file:
```
9
Lattice="7.424 0.000 0.000 -3.712 6.429 0.000 0.000 0.000 4.504" Properties=species:S:1:pos:R:3 pbc="T T T"
Pr -2.144 3.714 0.000
Pr 1.568 2.715 0.000
Pr 4.289 0.000 0.000
Mg -0.902 1.562 2.252
Mg 1.803 0.000 2.252
Mg 2.810 4.868 2.252
Ga 0.000 0.000 0.000
Ga 0.000 4.286 2.252
Ga 3.712 2.143 2.252
```

=====

(11)
# LaHRh3

LaHRh3 at its PBEsol-relaxed geometry (SCAN, the Alexandria database).

D(E_F) = 3.5 states/eV/f.u.
space-group type = Pm-3m
calculated total energy = -149.8 eV for the cell shown

extended XYZ file:
```
5
Lattice="4.100 0.000 0.000 0.000 4.100 0.000 0.000 0.000 4.100" Properties=species:S:1:pos:R:3 pbc="T T T"
La 0.000 0.000 0.000
H 2.050 2.050 2.050
Rh 0.000 2.050 2.050
Rh 2.050 0.000 2.050
Rh 2.050 2.050 0.000
```

=====

(12)
# ZnCuRh2

ZnCuRh2 at its PBEsol-relaxed geometry (SCAN, the Alexandria database).

D(E_F) = 3.6 states/eV/f.u.
space-group type = Cm
calculated total energy = -96.7 eV for the cell shown

extended XYZ file:
```
4
Lattice="4.360 -1.360 0.000 4.360 1.360 0.000 -0.873 0.000 4.379" Properties=species:S:1:pos:R:3 pbc="T T T"
Zn 0.000 0.000 0.000
Cu 1.504 0.000 3.381
Rh 3.910 0.000 2.206
Rh 6.316 0.000 1.201
```